1.
Density functional theory data (PBE) for a geometry-optimized CdBiI structure.

energy relative to the lowest polymorph listed for this composition	100	meV/atom
crystal system	monoclinic
formation energy from raw total energies	-0.47	eV per formula unit

Structure (extended XYZ):
```
6
Lattice="-2.663 -3.264 -0.467 4.453 -5.552 -5.816 5.247 -7.171 0.969" Properties=species:S:1:pos:R:3 pbc="T T T"
Cd 4.573 -8.623 -4.264
Cd 2.465 -7.363 -1.051
Bi -0.100 -5.348 -0.510
Bi 7.137 -10.638 -4.805
I 2.283 -6.803 -3.929
I 4.755 -9.183 -1.386
```


2.
Density functional theory data (PBE) for a geometry-optimized Cd2BiI structure.

energy relative to the lowest polymorph listed for this composition	110	meV/atom
crystal system	trigonal
formation energy from raw total energies	-0.22	eV per formula unit

Structure (extended XYZ):
```
4
Lattice="-0.006 2.926 3.347 -1.147 -1.306 4.092 7.082 -1.201 4.016" Properties=species:S:1:pos:R:3 pbc="T T T"
Cd 5.426 -0.815 3.675
Cd 1.133 0.186 2.792
Bi 6.286 -0.115 8.969
I 3.131 0.171 5.762
```


3.
Density functional theory data (PBE) for a geometry-optimized CdBiI structure.

energy relative to the lowest polymorph listed for this composition	1	meV/atom
crystal system	monoclinic
formation energy from raw total energies	-0.77	eV per formula unit

Structure (extended XYZ):
```
12
Lattice="8.445 0.000 0.001 0.000 4.470 0.000 -5.622 0.000 12.477" Properties=species:S:1:pos:R:3 pbc="T T T"
I -1.755 0.000 5.290
I -4.566 2.235 11.528
I 1.816 0.000 2.876
I -0.995 2.235 9.114
Bi 2.970 0.000 8.171
Bi 5.781 2.235 1.933
Bi 4.978 0.000 0.024
Bi 2.167 2.235 6.262
Cd 1.802 0.000 10.960
Cd 4.614 2.235 4.722
Cd -2.610 0.000 8.125
Cd 0.201 2.235 1.887
```


4.
Density functional theory data (PBE) for a geometry-optimized Cd2BiI structure.

energy relative to the lowest polymorph listed for this composition	64	meV/atom
crystal system	trigonal
formation energy from raw total energies	-0.40	eV per formula unit

Structure (extended XYZ):
```
4
Lattice="-1.513 -4.173 0.274 0.298 -2.226 3.839 -7.203 0.466 3.406" Properties=species:S:1:pos:R:3 pbc="T T T"
I -4.209 -2.966 3.759
Bi 0.000 0.000 0.000
Cd -1.888 -1.566 1.815
Cd -6.529 -4.367 5.704
```


no.,density (g/cm3)
1,6.2
2,7.0
3,6.3
4,7.2